A relaxed LiCd5Hg2 crystal, computed with PBE.

The density of states at the Fermi level comes out at 0.32 states/eV per atom. The value obtained for the total moment is 0.00 μB/atom. The formation energy comes out at -38 kJ/mol of formula units.

The structure belongs to space group Cmcm (No. 63); the cell edges are 4.764, 13.600 and 11.638 Å and the angles 90.00°, 90.00° and 90.00°. The distinct sites, in fractional coordinates, are Li at (0.000, 0.240, 0.250), Cd at (0.000, 0.016, 0.125), Cd at (0.000, 0.391, 0.029), Cd at (0.000, 0.406, 0.750) and Hg at (0.000, 0.210, 0.617).